# Sr2YAgO (PBE, relaxed)
# N(E_F)   0.556 states/eV/atom
# Formation energy from raw total energies   -1.108 eV/atom
# Theoretical density   4.9 Mg/m³
# Total magnetization   0.00 μB per formula unit
data_Sr2YAgO
_chemical_formula_sum 'Sr2 Y1 Ag1 O1'
_cell_length_a 5.421
_cell_length_b 5.421
_cell_length_c 4.513
_cell_angle_alpha 90.00
_cell_angle_beta 90.00
_cell_angle_gamma 90.00
_symmetry_space_group_name_H-M 'P 4/m m m'
_symmetry_Int_Tables_number 123
_symmetry_space_group_name_Hall '-P 4 2'
loop_
_atom_site_label
_atom_site_type_symbol
_atom_site_fract_x
_atom_site_fract_y
_atom_site_fract_z
Sr1 Sr 0.000 0.500 0.000
Y1 Y 0.000 0.000 0.500
Ag1 Ag 0.500 0.500 0.500
O1 O 0.000 0.000 0.000